1.
# Tb7AuI12

A geometry-optimized Tb7AuI12 structure (PBE-GGA, the Alexandria database).

Lattice parameters (Å, degrees): 9.7852 9.7852 9.7852 107.83 107.83 107.83
Positions (direct):
Tb1 0.0000 0.0000 0.0000
Tb2 0.1832 0.3893 0.4604
Tb3 0.3893 0.4604 0.1832
Tb4 0.4604 0.1832 0.3893
Tb5 0.5396 0.8168 0.6107
Tb6 0.6107 0.5396 0.8168
Tb7 0.8168 0.6107 0.5396
Au1 0.5000 0.5000 0.5000
I1 0.0246 0.3429 0.1059
I2 0.1059 0.0246 0.3429
I3 0.1838 0.7248 0.5762
I4 0.2752 0.4238 0.8162
I5 0.3429 0.1059 0.0246
I6 0.4238 0.8162 0.2752
I7 0.5762 0.1838 0.7248
I8 0.6571 0.8941 0.9754
I9 0.7248 0.5762 0.1838
I10 0.8162 0.2752 0.4238
I11 0.8941 0.9754 0.6571
I12 0.9754 0.6571 0.8941

2.
# Tb3AuI3

A geometry-optimized Tb3AuI3 structure (PBE-GGA, the Alexandria database).

Lattice parameters (Å, degrees): 10.7130 10.7130 10.7130 109.47 109.47 109.47
Positions (direct):
Tb1 0.0196 0.0392 0.2696
Tb2 0.0196 0.4804 0.7500
Tb3 0.0392 0.2696 0.0196
Tb4 0.2304 0.2696 0.7500
Tb5 0.2304 0.4608 0.4804
Tb6 0.2696 0.0196 0.0392
Tb7 0.2696 0.7500 0.2304
Tb8 0.4608 0.4804 0.2304
Tb9 0.4804 0.2304 0.4608
Tb10 0.4804 0.7500 0.0196
Tb11 0.7500 0.0196 0.4804
Tb12 0.7500 0.2304 0.2696
Au1 0.0000 0.2500 0.5000
Au2 0.2500 0.2500 0.2500
Au3 0.2500 0.5000 0.0000
Au4 0.5000 0.0000 0.2500
I1 0.2500 0.7568 0.7432
I2 0.2500 0.9932 0.5068
I3 0.5068 0.2500 0.9932
I4 0.5068 0.7568 0.5136
I5 0.5136 0.5068 0.7568
I6 0.7432 0.2500 0.7568
I7 0.7432 0.9932 0.9864
I8 0.7568 0.5136 0.5068
I9 0.7568 0.7432 0.2500
I10 0.9864 0.7432 0.9932
I11 0.9932 0.5068 0.2500
I12 0.9932 0.9864 0.7432

Number 1: electronic total energy -3.9236 eV/atom. Number 2: electronic total energy -4.1626 eV/atom.